Compound: Sr2TaCu2
Source: Alexandria via LeMat-Bulk
Functional: PBE
Structure: optimized geometry

abc: 3.4123 3.4123 10.6508
angles: 80.78 80.78 90.00
Last column: nearest neighbours and their distance in Å.
Sites, in units of the cell vectors:
1 Sr 0.3795 0.3795 0.2410  4 Cu 3.18, 4 Sr 3.41, 4 Ta 3.47
2 Sr 0.6205 0.6205 0.7590  4 Cu 3.18, 4 Sr 3.41, 4 Ta 3.47
3 Cu 0.7500 0.2500 0.5000  4 Cu 2.41
4 Cu 0.2500 0.7500 0.5000  4 Cu 2.41
5 Ta 0.0000 0.0000 0.0000  4 Ta 3.41, 8 Sr 3.47

## Properties
Its raw total energy is -4.0748 eV per atom. For the energy of formation from the pure elements, the calculation gives 0.61 eV per atom. As for the distance to the lowest polymorph of the same formula: 0.0 meV per atom. The value obtained for the theoretical density is 6.64 g/cm3. The value obtained for the magnetization is 0.3 μB per formula unit.

Compound: SrTaCu2
Source: Alexandria via LeMat-Bulk
Functional: PBE
Structure: optimized geometry

abc: 5.4846 5.4846 5.1218
angles: 74.68 74.68 30.04
Last column: nearest neighbours and their distance in Å.
Sites, in units of the cell vectors:
1 Cu 0.9732 0.9732 0.9588  4 Cu 2.62-2.84, 3 Ta 2.88-2.94, 2 Sr 2.92
2 Cu 0.2823 0.2823 0.2700  4 Cu 2.62-2.84, 2 Ta 2.87, 1 Sr 2.88
3 Sr 0.5194 0.5194 0.4427  2 Sr 2.84, 7 Cu 2.88-3.04
4 Ta 0.7252 0.7252 0.8285  2 Ta 2.84, 7 Cu 2.87-3.10

## Properties
Its raw total energy is -4.9013 eV per atom. For the energy of formation from the pure elements, the calculation gives 0.53 eV per atom. As for the distance to the lowest polymorph of the same formula: 266.7 meV per atom. The value obtained for the theoretical density is 8.86 g/cm3. The value obtained for the magnetization is 0.0 μB per formula unit.

Compound: SrTa2Cu
Source: Alexandria via LeMat-Bulk
Functional: PBE
Structure: optimized geometry

abc: 2.9737 2.9737 9.3173
angles: 90.00 90.00 98.33
Last column: nearest neighbours and their distance in Å.
Sites, in units of the cell vectors:
1 Cu 0.0000 0.0000 0.4640  4 Ta 2.66-2.89, 4 Cu 2.97
2 Sr 0.5000 0.5000 0.7248  4 Sr 2.97, 4 Cu 3.11-3.31
3 Ta 0.0000 0.0000 0.0412  8 Ta 2.88-3.10
4 Ta 0.5000 0.5000 0.2699  4 Cu 2.66-2.89, 6 Ta 2.88-2.97

## Properties
Its raw total energy is -6.8619 eV per atom. For the energy of formation from the pure elements, the calculation gives 0.51 eV per atom. As for the distance to the lowest polymorph of the same formula: 76.3 meV per atom. The value obtained for the theoretical density is 10.45 g/cm3. The value obtained for the magnetization is 0.0 μB per formula unit.

Compound: SrTa3Cu
Source: Alexandria via LeMat-Bulk
Functional: PBE
Structure: optimized geometry

abc: 4.8578 4.8578 4.8578
angles: 90.00 90.00 90.00
Last column: nearest neighbours and their distance in Å.
Sites, in units of the cell vectors:
1 Sr 0.5000 0.5000 0.5000  12 Ta 3.43
2 Cu 0.0000 0.0000 0.0000  6 Ta 2.43
3 Ta 0.0000 0.5000 0.0000  2 Cu 2.43
4 Ta 0.0000 0.0000 0.5000  2 Cu 2.43
5 Ta 0.5000 0.0000 0.0000  2 Cu 2.43

## Properties
Its raw total energy is -6.9320 eV per atom. For the energy of formation from the pure elements, the calculation gives 1.34 eV per atom. As for the distance to the lowest polymorph of the same formula: 0.0 meV per atom. The value obtained for the theoretical density is 10.05 g/cm3. The value obtained for the magnetization is 0.0 μB per formula unit.